1.
A relaxed K2Hf2S crystal. Source: the Alexandria database, functional GGA-PBE.

Computed properties:
Theoretical density ... 6111 kg/m3
Energy relative to the lowest polymorph listed for this composition ... 0.895 eV/atom
Magnetization ... 0.222 μB/atom
Space group ... No. 139
Energy relative to the elements, uncorrected ... 0.992 eV/atom
Density of states at the Fermi level ... 0.91 states/eV per atom

Cell and atoms, written as POSCAR:
```
K2Hf2S
1.0
3.662 0.000 0.000
0.000 3.662 0.000
1.831 1.831 9.469
Hf S K
2 1 2
Cartesian
1.831 1.831 1.430
3.662 3.662 8.039
0.000 0.000 0.000
1.831 3.662 4.734
3.662 1.831 4.734
```

2.
A relaxed K8HfS6 crystal. Source: the Alexandria database, functional GGA-PBE.

Computed properties:
Theoretical density ... 2200 kg/m3
Magnetization ... 0.015 μB/atom
Space group ... No. 31
Energy relative to the elements, uncorrected ... -1.176 eV/atom
Density of states at the Fermi level ... 0.00 states/eV per atom

Cell and atoms, written as POSCAR:
```
K8HfS6
1.0
9.166 0.000 0.000
0.000 9.013 0.000
0.000 0.000 12.493
Hf S K
2 12 16
Cartesian
7.210 0.000 6.116
1.957 4.506 12.363
9.164 4.506 10.912
7.167 4.506 2.920
2.743 4.506 6.392
7.149 7.041 7.493
3.854 4.506 10.920
5.312 0.000 4.673
7.149 1.972 7.493
0.003 0.000 4.666
1.999 0.000 9.167
6.423 0.000 0.145
2.017 6.479 1.247
2.017 2.534 1.247
8.265 7.285 1.965
4.287 2.359 8.717
0.902 6.234 8.212
4.287 6.654 8.717
5.948 4.506 5.778
8.138 7.414 10.535
8.138 1.599 10.535
6.460 4.506 12.431
8.265 1.728 1.965
1.028 6.105 4.289
4.879 6.865 2.470
2.707 0.000 6.184
3.218 0.000 12.025
4.879 2.147 2.470
1.028 2.907 4.289
0.902 2.779 8.212
```

3.
A relaxed KHf2S4 crystal. Source: the Alexandria database, functional GGA-PBE.

Computed properties:
Theoretical density ... 5722 kg/m3
Energy relative to the lowest polymorph listed for this composition ... 0.104 eV/atom
Magnetization ... 0.000 μB/atom
Space group ... No. 63
Energy relative to the elements, uncorrected ... -1.492 eV/atom
Density of states at the Fermi level ... 0.19 states/eV per atom

Cell and atoms, written as POSCAR:
```
KHf2S4
1.0
3.764 0.000 0.000
-1.882 6.220 0.000
0.000 0.000 12.998
S K Hf
8 2 4
Cartesian
0.000 2.919 11.615
0.000 2.919 7.881
1.882 3.300 1.382
1.882 3.300 5.117
1.882 0.000 6.499
1.882 5.210 9.748
0.000 1.009 3.249
1.882 0.000 0.000
0.000 4.840 3.249
1.882 1.380 9.748
1.882 4.606 7.335
1.882 4.606 12.161
0.000 1.613 5.662
0.000 1.613 0.836
```

4.
A relaxed K3HfS crystal. Source: the Alexandria database, functional GGA-PBE.

Computed properties:
Theoretical density ... 2400 kg/m3
Energy relative to the lowest polymorph listed for this composition ... 0.000 eV/atom
Magnetization ... 0.600 μB/atom
Space group ... No. 221
Energy relative to the elements, uncorrected ... 0.468 eV/atom
Density of states at the Fermi level ... 2.80 states/eV per atom

Cell and atoms, written as POSCAR:
```
K3HfS
1.0
-6.058 -0.320 0.633
-0.060 -5.193 -3.198
0.707 -3.182 5.155
K S Hf
3 1 1
Cartesian
0.353 -1.591 2.577
-0.030 -2.597 -1.599
-3.029 -0.160 0.317
0.000 0.000 0.000
-2.706 -4.347 1.295
```

5.
A relaxed KHfS4 crystal. Source: the Alexandria database, functional GGA-PBE.

Computed properties:
Theoretical density ... 3532 kg/m3
Magnetization ... 0.000 μB/atom
Space group ... No. 15
Energy relative to the elements, uncorrected ... -0.940 eV/atom
Density of states at the Fermi level ... 0.49 states/eV per atom

Cell and atoms, written as POSCAR:
```
KHfS4
1.0
-1.580 -4.827 4.228
3.929 -5.124 -5.532
3.846 5.792 3.460
Hf S K
2 8 2
Cartesian
6.575 -2.954 1.092
-0.380 -1.204 1.065
3.394 -3.731 -4.173
4.212 -3.622 2.114
5.775 -0.462 1.024
1.983 -0.537 0.042
0.420 -3.697 1.133
4.021 -6.535 -1.857
2.173 2.376 4.014
2.801 -0.427 6.330
2.961 -3.542 -0.930
3.233 -0.616 3.087
```

6.
A relaxed KHfS3 crystal. Source: the Alexandria database, functional GGA-PBE.

Computed properties:
Theoretical density ... 3399 kg/m3
Energy relative to the lowest polymorph listed for this composition ... 0.042 eV/atom
Magnetization ... 0.000 μB/atom
Space group ... No. 1
Energy relative to the elements, uncorrected ... -1.334 eV/atom
Density of states at the Fermi level ... 0.00 states/eV per atom

Cell and atoms, written as POSCAR:
```
KHfS3
1.0
7.481 -0.034 -0.047
3.773 6.422 -0.018
-0.182 -2.022 6.366
S K Hf
6 2 2
Cartesian
7.845 3.234 3.101
6.925 1.038 5.861
6.730 -0.835 3.329
2.267 0.682 1.771
2.871 0.849 5.316
3.168 4.780 1.410
4.811 -1.625 5.934
4.739 2.803 3.674
9.055 2.835 0.938
8.408 0.980 3.800
```

7.
A relaxed KHfS3 crystal. Source: the Alexandria database, functional GGA-PBE.

Computed properties:
Theoretical density ... 3550 kg/m3
Energy relative to the lowest polymorph listed for this composition ... 0.456 eV/atom
Magnetization ... 0.200 μB/atom
Space group ... No. 194
Energy relative to the elements, uncorrected ... -0.920 eV/atom
Density of states at the Fermi level ... 0.39 states/eV per atom

Cell and atoms, written as POSCAR:
```
KHfS3
1.0
-1.799 3.630 -1.823
0.761 -3.596 -2.496
-15.688 -5.906 3.724
Hf S K
2 6 2
Cartesian
-11.858 -5.617 0.521
-4.868 -0.255 -1.117
-11.766 -4.430 2.793
-7.041 -1.073 -0.601
-2.695 0.563 -1.633
-14.031 -6.435 1.037
-3.922 -1.477 0.931
-9.685 -4.799 0.005
-7.844 -2.953 1.862
0.000 0.000 0.000
```

8.
A relaxed KHfS3 crystal. Source: the Alexandria database, functional GGA-PBE.

Computed properties:
Theoretical density ... 4174 kg/m3
Energy relative to the lowest polymorph listed for this composition ... 0.161 eV/atom
Magnetization ... 0.000 μB/atom
Space group ... No. 221
Energy relative to the elements, uncorrected ... -1.215 eV/atom
Density of states at the Fermi level ... 0.52 states/eV per atom

Cell and atoms, written as POSCAR:
```
KHfS3
1.0
-1.868 -1.359 4.432
0.534 -4.809 -1.250
4.604 0.007 1.943
S Hf K
3 1 1
Cartesian
2.302 0.003 0.972
0.267 -2.405 -0.625
-0.934 -0.680 2.216
0.000 0.000 0.000
1.635 -3.081 2.563
```

9.
A relaxed KHfS2 crystal. Source: the Alexandria database, functional GGA-PBE.

Computed properties:
Theoretical density ... 5232 kg/m3
Magnetization ... 0.000 μB/atom
Space group ... No. 160
Energy relative to the elements, uncorrected ... -1.451 eV/atom
Density of states at the Fermi level ... 0.44 states/eV per atom

Cell and atoms, written as POSCAR:
```
KHfS2
1.0
3.696 0.000 0.000
1.848 3.201 0.000
1.848 1.067 7.558
K Hf S
1 1 2
Cartesian
3.696 2.134 3.833
5.544 3.201 7.535
1.848 1.067 6.051
1.848 1.067 1.477
```

10.
A relaxed KHfS3 crystal. Source: the Alexandria database, functional GGA-PBE.

Computed properties:
Theoretical density ... 4366 kg/m3
Energy relative to the lowest polymorph listed for this composition ... 0.143 eV/atom
Magnetization ... 0.000 μB/atom
Space group ... No. 14
Energy relative to the elements, uncorrected ... -1.233 eV/atom
Density of states at the Fermi level ... 0.00 states/eV per atom

Cell and atoms, written as POSCAR:
```
KHfS3
1.0
23.270 0.000 3.471
0.000 6.499 0.000
-7.613 0.000 2.021
S K Hf
12 4 4
Cartesian
21.636 0.406 3.320
15.769 0.556 2.356
9.462 3.656 2.896
18.882 2.341 4.519
-5.979 6.093 2.171
0.327 2.694 1.631
-0.112 5.943 3.136
6.195 2.843 2.596
15.329 3.805 3.861
4.603 5.590 3.719
11.054 0.908 1.773
-3.225 4.158 0.973
3.181 3.732 1.857
11.009 6.017 4.602
12.476 2.767 3.635
4.648 0.482 0.889
8.323 1.643 2.127
-0.494 4.893 0.619
16.151 1.606 4.873
7.334 4.855 3.365
```

11.
A relaxed KHfS3 crystal. Source: the Alexandria database, functional GGA-PBE.

Computed properties:
Theoretical density ... 4142 kg/m3
Energy relative to the lowest polymorph listed for this composition ... 0.582 eV/atom
Magnetization ... 0.000 μB/atom
Space group ... No. 63
Energy relative to the elements, uncorrected ... -0.795 eV/atom
Density of states at the Fermi level ... 0.30 states/eV per atom

Cell and atoms, written as POSCAR:
```
KHfS3
1.0
2.246 -8.901 0.000
2.246 8.901 0.000
0.000 0.000 6.294
S K Hf
6 2 2
Cartesian
1.038 -2.865 4.720
3.453 -2.865 4.720
0.000 0.000 0.000
3.453 2.865 1.573
0.000 0.000 3.147
1.038 2.865 1.573
2.246 5.923 1.573
2.246 -5.923 4.720
2.246 -0.702 4.720
2.246 0.702 1.573
```

12.
A relaxed KHfS3 crystal. Source: the Alexandria database, functional GGA-PBE.

Computed properties:
Theoretical density ... 2885 kg/m3
Energy relative to the lowest polymorph listed for this composition ... 0.127 eV/atom
Magnetization ... 0.000 μB/atom
Space group ... No. 12
Energy relative to the elements, uncorrected ... -1.249 eV/atom
Density of states at the Fermi level ... 0.00 states/eV per atom

Cell and atoms, written as POSCAR:
```
KHfS3
1.0
0.428 6.790 24.313
-3.461 3.551 7.784
-0.552 -5.933 -7.048
Hf S K
2 6 2
Cartesian
-0.514 -4.612 -2.563
-3.072 9.020 27.612
-2.225 2.675 11.691
-3.100 5.023 14.519
-2.146 0.140 3.921
-0.486 -0.615 10.530
-1.441 4.267 21.128
-1.361 1.733 13.358
-3.099 5.962 17.564
-0.487 -1.554 7.484
```

13.
A relaxed KHf2S4 crystal. Source: the Alexandria database, functional GGA-PBE.

Computed properties:
Theoretical density ... 4842 kg/m3
Energy relative to the lowest polymorph listed for this composition ... 0.000 eV/atom
Magnetization ... 0.000 μB/atom
Space group ... No. 12
Energy relative to the elements, uncorrected ... -1.595 eV/atom
Density of states at the Fermi level ... 0.42 states/eV per atom

Cell and atoms, written as POSCAR:
```
KHf2S4
1.0
3.588 0.000 -0.718
-0.359 5.961 -1.791
-0.146 -0.494 8.591
S Hf K
4 2 1
Cartesian
2.746 2.644 4.398
1.946 5.766 0.401
0.337 2.822 1.683
1.137 -0.300 5.681
2.355 4.258 2.444
0.728 1.208 3.637
1.615 2.981 -1.255
```

14.
A relaxed KHfS2 crystal. Source: the Alexandria database, functional GGA-PBE.

Computed properties:
Theoretical density ... 3700 kg/m3
Magnetization ... 0.245 μB/atom
Space group ... No. 122
Energy relative to the elements, uncorrected ... -1.149 eV/atom
Density of states at the Fermi level ... 0.60 states/eV per atom

Cell and atoms, written as POSCAR:
```
KHfS2
1.0
-3.752 3.883 -4.031
-0.519 -5.073 -4.404
-6.741 -2.365 -1.636
K Hf S
2 2 4
Cartesian
-2.135 -0.595 -4.218
-4.697 -4.017 -5.129
-6.314 0.461 -4.942
0.000 0.000 0.000
-6.611 -1.766 -3.996
-2.143 -3.624 -3.305
-8.839 -3.270 -9.002
-4.431 1.549 -3.840
```

15.
A relaxed K2HfSb2S6 crystal. Source: the Alexandria database, functional GGA-PBE.

Computed properties:
Theoretical density ... 3807 kg/m3
Magnetization ... 0.000 μB/atom
Space group ... No. 12
Energy relative to the elements, uncorrected ... -0.850 eV/atom

Cell and atoms, written as POSCAR:
```
K2HfSb2S6
1.0
-6.415 2.081 2.702
0.814 -4.969 -4.010
2.176 -2.888 7.391
Sb S K Hf
2 6 2 1
Cartesian
-3.481 -4.377 4.875
0.055 -1.399 1.208
-0.174 -3.520 2.298
-0.082 -4.744 -1.175
-0.301 -2.019 5.977
-3.252 -2.256 3.785
-3.126 -3.756 0.107
-3.344 -1.031 7.258
-3.863 -0.739 1.165
0.437 -5.036 4.918
-2.120 -0.403 5.046
```

16.
A relaxed K2HfSc2S6 crystal. Source: the Alexandria database, functional GGA-PBE.

Computed properties:
Theoretical density ... 3258 kg/m3
Magnetization ... 0.000 μB/atom
Space group ... No. 12
Energy relative to the elements, uncorrected ... -1.752 eV/atom
Density of states at the Fermi level ... 0.00 states/eV per atom

Cell and atoms, written as POSCAR:
```
K2HfSc2S6
1.0
6.490 -0.016 0.054
-3.222 5.634 0.054
-1.168 -2.008 7.485
S Hf K Sc
6 1 2 2
Cartesian
1.599 2.749 5.234
-1.652 0.825 5.184
0.501 0.861 2.358
1.534 -1.028 5.184
0.566 4.637 2.409
3.751 2.784 2.409
-0.584 -1.004 3.743
-1.590 4.685 0.054
4.858 0.933 0.054
-0.571 2.748 3.796
2.671 0.862 3.796
```

17.
A relaxed KHfSe2S crystal. Source: the Alexandria database, functional GGA-PBE.

Computed properties:
Theoretical density ... 4898 kg/m3
Magnetization ... 0.000 μB/atom
Space group ... No. 123
Energy relative to the elements, uncorrected ... -1.125 eV/atom
Density of states at the Fermi level ... 0.63 states/eV per atom

Cell and atoms, written as POSCAR:
```
KHfSe2S
1.0
-1.465 4.125 2.915
-5.027 -1.488 -0.421
0.470 -2.758 4.139
Se K S Hf
2 1 1 1
Cartesian
-0.733 2.062 1.458
-2.513 -0.744 -0.211
-3.011 -0.061 3.316
0.235 -1.379 2.069
0.000 0.000 0.000
```

18.
A relaxed KHf2SeS crystal. Source: the Alexandria database, functional GGA-PBE.

Computed properties:
Theoretical density ... 5838 kg/m3
Magnetization ... 0.154 μB/atom
Space group ... No. 123
Energy relative to the elements, uncorrected ... 0.094 eV/atom
Density of states at the Fermi level ... 0.78 states/eV per atom

Cell and atoms, written as POSCAR:
```
KHf2SeS
1.0
-0.515 -4.031 -2.461
6.353 -0.597 -0.352
-0.008 -2.475 4.055
Se K Hf S
1 1 2 1
Cartesian
3.177 -0.299 -0.176
2.915 -3.551 0.621
-0.004 -1.237 2.028
-0.258 -2.015 -1.231
0.000 0.000 0.000
```

19.
A relaxed K2Sm2HfS6 crystal. Source: the Alexandria database, functional GGA-PBE.

Computed properties:
Theoretical density ... 4011 kg/m3
Magnetization ... 0.000 μB/atom
Space group ... No. 12
Energy relative to the elements, uncorrected ... -1.791 eV/atom
Density of states at the Fermi level ... 0.00 states/eV per atom

Cell and atoms, written as POSCAR:
```
K2Sm2HfS6
1.0
-2.673 6.090 1.747
-3.160 -5.769 2.005
6.047 -0.138 5.066
S Sm Hf K
6 2 1 2
Cartesian
-0.239 0.149 6.371
2.993 1.817 4.312
0.452 0.035 2.447
-2.629 2.050 4.425
-2.780 -1.634 4.506
2.842 -1.867 4.393
0.188 2.064 4.366
0.026 -1.880 4.452
3.024 -0.069 2.533
-2.756 4.072 1.791
-3.077 -3.751 1.961
```

20.
A relaxed K2SmHfS4 crystal. Source: the Alexandria database, functional GGA-PBE.

Computed properties:
Theoretical density ... 4490 kg/m3
Magnetization ... 0.000 μB/atom
Space group ... No. 10
Energy relative to the elements, uncorrected ... -1.632 eV/atom
Density of states at the Fermi level ... 0.36 states/eV per atom

Cell and atoms, written as POSCAR:
```
K2SmHfS4
1.0
3.909 0.000 0.000
0.000 6.841 0.142
0.000 -2.382 7.356
Hf Sm S K
1 1 4 2
Cartesian
1.954 3.420 0.071
0.000 0.000 0.000
0.000 4.409 1.551
0.000 0.049 5.946
1.954 1.266 1.549
1.954 3.192 5.949
1.954 -1.191 3.678
0.000 2.229 3.749
```

21.
A relaxed K2HfSnS5 crystal. Source: the Alexandria database, functional GGA-PBE.

Computed properties:
Theoretical density ... 3543 kg/m3
Magnetization ... 0.000 μB/atom
Space group ... No. 4
Energy relative to the elements, uncorrected ... -1.112 eV/atom

Cell and atoms, written as POSCAR:
```
K2HfSnS5
1.0
3.842 -0.001 0.000
-1.924 9.322 0.000
0.000 0.000 14.022
S Sn K Hf
10 2 4 2
Cartesian
1.916 3.580 12.667
0.001 5.422 9.103
1.921 2.938 7.015
-0.006 1.046 0.559
-0.002 6.383 0.004
1.919 0.009 10.989
1.924 8.275 7.570
0.002 5.741 5.656
-0.001 9.312 3.978
1.918 3.899 2.091
1.915 1.152 13.003
0.004 8.169 5.992
1.918 6.762 11.466
1.919 7.226 2.364
0.000 2.559 4.455
-0.001 2.095 9.375
1.922 5.203 7.489
-0.003 4.118 0.478
```

22.
A relaxed K2HfSnS4 crystal. Source: the Alexandria database, functional GGA-PBE.

Computed properties:
Theoretical density ... 4105 kg/m3
Magnetization ... 0.000 μB/atom
Space group ... No. 10
Energy relative to the elements, uncorrected ... -1.213 eV/atom
Density of states at the Fermi level ... 0.03 states/eV per atom

Cell and atoms, written as POSCAR:
```
K2HfSnS4
1.0
3.936 0.000 0.000
0.000 7.549 -0.398
0.000 2.413 6.729
K S Sn Hf
2 4 1 1
Cartesian
1.968 1.207 3.365
0.000 2.413 6.729
0.000 7.048 4.651
1.968 4.027 4.634
1.968 5.936 1.696
3.936 2.915 1.680
1.968 3.775 -0.199
0.000 4.981 3.165
```